# 1
A relaxed FeSiHg4 crystal. Source: the Alexandria database, functional PBE.

Calculated values
* space group: F-43m, No. 216
* formation energy from raw total energies: 0.83 eV/atom
* E_tot: -10.11 eV/cell

a = 5.783 Å, b = 5.783 Å, c = 5.783 Å
α = 60.00°, β = 60.00°, γ = 60.00°
Positions (direct):
Fe 0.000 0.000 0.000
Si 0.250 0.250 0.250
Hg 0.125 0.625 0.625
Hg 0.625 0.125 0.625
Hg 0.625 0.625 0.125
Hg 0.625 0.625 0.625


# 2
A relaxed Fe3SiHg crystal. Source: the Alexandria database, functional PBE.

Calculated values
* space group: Pm-3m, No. 221
* formation energy from raw total energies: 0.60 eV/atom
* offset from the most stable computed form: 0.000 eV per atom
* E_tot: -28.10 eV/cell

a = 4.290 Å, b = 4.290 Å, c = 4.290 Å
α = 90.00°, β = 90.00°, γ = 90.00°
Positions (direct):
Fe 0.000 0.000 0.500
Fe 0.000 0.500 0.000
Fe 0.500 0.000 0.000
Si 0.000 0.000 0.000
Hg 0.500 0.500 0.500


Question: What is the E_tot in the first record?
Answer: -10.11 eV/cell